No. 1
Below is a geometry-optimized ThGa2Ni5Au structure, with properties calculated at the PBE level. Values from VASP.

Results
The calculation puts the formation energy from the elements at -0.17 eV per atom. The value obtained for the volume is 15.30 A^3/atom. For the spin magnetization, the calculation gives 0.00 μB per formula unit.

```
&SYSTEM
  ibrav = 0, nat = 9, ntyp = 4
/
ATOMIC_SPECIES
Au 196.97 Au.upf
Ga 69.72 Ga.upf
Ni 58.69 Ni.upf
Th 232.04 Th.upf
CELL_PARAMETERS angstrom
3.8693 0.0000 0.0000
0.0000 3.8693 0.0000
0.0000 0.0000 9.1964
ATOMIC_POSITIONS angstrom
Au 0.0000 0.0000 0.0000
Ga 1.9347 1.9347 1.2082
Ni 0.0000 1.9347 6.5887
Ni 1.9347 0.0000 6.5887
Ni 1.9347 0.0000 2.6077
Th 0.0000 0.0000 4.5982
Ni 0.0000 1.9347 2.6077
Ga 1.9347 1.9347 7.9882
Ni 1.9347 1.9347 4.5982
```

=====

No. 2
Below is a geometry-optimized Th2Ga4NiAu3 structure, with properties calculated at the PBE level. Values from VASP.

Results
The calculation puts the formation energy from the elements at -0.57 eV per atom. The value obtained for the volume is 19.98 A^3/atom. For the spin magnetization, the calculation gives 0.00 μB per formula unit.

```
&SYSTEM
  ibrav = 0, nat = 10, ntyp = 4
/
ATOMIC_SPECIES
Au 196.97 Au.upf
Ga 69.72 Ga.upf
Ni 58.69 Ni.upf
Th 232.04 Th.upf
CELL_PARAMETERS angstrom
-2.1711 3.6357 0.9510
-3.6880 -2.2723 0.2674
1.7642 -1.6479 10.3273
ATOMIC_POSITIONS angstrom
Au 0.8821 -0.8239 5.1636
Ga -1.1795 -1.7568 4.0235
Au 0.4335 0.3990 9.3677
Au -1.5989 -1.3651 1.5688
Ni -2.0474 -0.1422 5.7729
Ga 0.0000 0.0000 0.0000
Ga -2.9295 0.6817 0.6092
Th -0.5520 -2.3430 7.6971
Ga 0.0142 0.7906 6.9130
Th -0.6134 1.3768 3.2394
```

=====

No. 3
Below is a geometry-optimized ThGa3NiAu structure, with properties calculated at the PBE level. Values from VASP.

Results
The calculation puts the formation energy from the elements at -0.31 eV per atom. The value obtained for the volume is 19.03 A^3/atom. For the spin magnetization, the calculation gives 0.00 μB per formula unit.

```
&SYSTEM
  ibrav = 0, nat = 12, ntyp = 4
/
ATOMIC_SPECIES
Ga 69.72 Ga.upf
Ni 58.69 Ni.upf
Au 196.97 Au.upf
Th 232.04 Th.upf
CELL_PARAMETERS angstrom
6.0040 0.0000 0.0000
0.0000 5.7638 0.0000
0.0000 -2.8819 6.5987
ATOMIC_POSITIONS angstrom
Ga 3.0020 4.1487 0.0000
Ga 1.5010 0.0000 1.6457
Ni 1.5010 2.8819 5.4664
Au 4.5030 2.8819 2.1833
Ni 4.5030 0.0000 1.1323
Th 1.5010 2.8819 2.8330
Ga 0.0000 4.1487 0.0000
Th 4.5030 0.0000 3.7656
Au 1.5010 0.0000 4.4154
Ga 0.0000 1.6151 0.0000
Ga 4.5030 2.8819 4.9529
Ga 3.0020 1.6151 0.0000
```